Record 1
# Ho7MgTl2

Crystalline Ho7MgTl2 at its relaxed geometry (PBE, Alexandria).

Structure (CIF):
```
data_Ho7MgTl2
_chemical_formula_sum 'Ho7 Mg1 Tl2'
_cell_length_a 8.859
_cell_length_b 8.859
_cell_length_c 5.307
_cell_angle_alpha 90.00
_cell_angle_beta 90.00
_cell_angle_gamma 118.66
_space_group_name_H-M_alt 'P 1'
_space_group_IT_number 1
loop_
_space_group_symop_operation_xyz
'x,y,z'
loop_
_atom_site_label
_atom_site_fract_x
_atom_site_fract_y
_atom_site_fract_z
Ho1 0.000 0.000 0.000
Ho2 0.200 0.434 0.000
Ho3 0.275 0.725 0.500
Ho4 0.434 0.200 0.000
Ho5 0.566 0.800 0.000
Ho6 0.725 0.275 0.500
Ho7 0.800 0.566 0.000
Mg1 0.500 0.500 0.500
Tl1 0.196 0.804 0.000
Tl2 0.804 0.196 0.000
```

energy of formation	0.36	eV per atom

---

Record 2
# Ho4Mg3Tl

Crystalline Ho4Mg3Tl at its relaxed geometry (PBE, Alexandria).

Structure (CIF):
```
data_Ho4Mg3Tl
_chemical_formula_sum 'Ho4 Mg3 Tl1'
_cell_length_a 3.463
_cell_length_b 5.026
_cell_length_c 12.571
_cell_angle_alpha 90.00
_cell_angle_beta 90.00
_cell_angle_gamma 90.00
_space_group_name_H-M_alt 'P 1'
_space_group_IT_number 1
loop_
_space_group_symop_operation_xyz
'x,y,z'
loop_
_atom_site_label
_atom_site_fract_x
_atom_site_fract_y
_atom_site_fract_z
Ho1 0.000 0.000 0.000
Ho2 0.000 0.500 0.342
Ho3 0.500 0.000 0.499
Ho4 0.500 0.500 0.845
Mg1 0.000 0.000 0.737
Mg2 0.000 0.500 0.605
Mg3 0.500 0.500 0.105
Tl1 0.500 0.000 0.241
```

ΔE to the lowest computed polymorph	49	meV per atom
energy of formation	-0.10	eV per atom

---

Record 3
# Ho2MgTl

Crystalline Ho2MgTl at its relaxed geometry (PBE, Alexandria).

Structure (CIF):
```
data_Ho2MgTl
_chemical_formula_sum 'Ho2 Mg1 Tl1'
_cell_length_a 5.313
_cell_length_b 5.313
_cell_length_c 5.313
_cell_angle_alpha 60.00
_cell_angle_beta 60.00
_cell_angle_gamma 60.00
_space_group_name_H-M_alt 'P 1'
_space_group_IT_number 1
loop_
_space_group_symop_operation_xyz
'x,y,z'
loop_
_atom_site_label
_atom_site_fract_x
_atom_site_fract_y
_atom_site_fract_z
Ho1 0.250 0.250 0.250
Ho2 0.750 0.750 0.750
Mg1 0.000 0.000 0.000
Tl1 0.500 0.500 0.500
```

energy of formation	-0.22	eV per atom